# Dy2Zn15Hg2 (GGA-PBE, relaxed)
# energy: -1.717 eV per atom
# M_tot: 0.0 μB/f.u.
# ΔE_f: -0.195 eV/atom
# Fermi-level density of states: 4.32 states/eV/cell
data_Dy2Zn15Hg2
_chemical_formula_sum 'Dy2 Zn15 Hg2'
_space_group_name_H-M_alt 'P 1'
_space_group_IT_number 1
_space_group_name_Hall 'P 1'
_cell_length_a 6.892
_cell_length_b 6.892
_cell_length_c 6.892
_cell_angle_alpha 83.04
_cell_angle_beta 83.04
_cell_angle_gamma 83.04
loop_
_atom_site_label
_atom_site_type_symbol
_atom_site_fract_x
_atom_site_fract_y
_atom_site_fract_z
Dy1 Dy 0.158 0.158 0.158
Dy2 Dy 0.842 0.842 0.842
Zn1 Zn 0.000 0.500 0.500
Zn2 Zn 0.145 0.145 0.670
Zn3 Zn 0.145 0.670 0.145
Zn4 Zn 0.195 0.500 0.805
Zn5 Zn 0.195 0.805 0.500
Zn6 Zn 0.330 0.855 0.855
Zn7 Zn 0.500 0.000 0.500
Zn8 Zn 0.500 0.195 0.805
Zn9 Zn 0.500 0.500 0.000
Zn10 Zn 0.500 0.805 0.195
Zn11 Zn 0.670 0.145 0.145
Zn12 Zn 0.805 0.195 0.500
Zn13 Zn 0.805 0.500 0.195
Zn14 Zn 0.855 0.330 0.855
Zn15 Zn 0.855 0.855 0.330
Hg1 Hg 0.391 0.391 0.391
Hg2 Hg 0.609 0.609 0.609